Entry from Alexandria: a geometry-optimized Rb5Co2O6 structure (PBE with a Hubbard U).

Summary:
- E_tot (eV per atom) = -4.69

a = 6.551 Å, b = 6.551 Å, c = 14.627 Å
α = 80.68°, β = 80.68°, γ = 65.51°
Fractional positions:
O 0.725 0.591 0.864
O 0.858 0.994 0.377
O 0.188 0.357 0.943
O 0.357 0.188 0.443
O 0.994 0.858 0.877
O 0.275 0.409 0.136
O 0.409 0.275 0.636
O 0.812 0.643 0.057
O 0.006 0.142 0.123
O 0.591 0.725 0.364
O 0.142 0.006 0.623
O 0.643 0.812 0.557
Rb 0.396 0.604 0.750
Rb 0.800 0.327 0.504
Rb 0.673 0.200 0.996
Rb 0.087 0.221 0.786
Rb 0.221 0.087 0.286
Rb 0.604 0.396 0.250
Rb 0.200 0.673 0.496
Rb 0.779 0.913 0.714
Rb 0.913 0.779 0.214
Rb 0.327 0.800 0.004
Co 0.917 0.630 0.928
Co 0.630 0.917 0.428
Co 0.370 0.083 0.572
Co 0.083 0.370 0.072